The following is a PBE calculation of Tb4MgCd after structural relaxation, from the Alexandria database. Values from VASP.

Geometry as Quantum ESPRESSO input:
```
&SYSTEM
  ibrav = 0, nat = 6, ntyp = 3
/
ATOMIC_SPECIES
Tb 158.93 Tb.upf
Mg 24.30 Mg.upf
Cd 112.41 Cd.upf
CELL_PARAMETERS angstrom
5.1438 -0.0002 -0.0023
-0.0003 5.1448 -0.0026
0.0026 0.0051 7.5090
ATOMIC_POSITIONS crystal
Tb 0.5013 0.9973 0.2556
Tb 0.5013 0.9974 0.7408
Tb 0.0013 0.4973 0.7407
Tb 0.0012 0.4974 0.2556
Mg 0.5014 0.4970 0.9979
Cd 0.0013 0.9974 0.4982
```

Calculated values
- Magnetization: 0.001 Bohr magnetons per cell
- DFT formation energy: 0.2513 eV/atom